Below is an optimized crystal structure of Ca2AgBr, with properties calculated at the PBE level.

Values from the calculation:
Formation energy (no corrections) (meV/atom): -799
Calculated volume (A^3/atom): 30.14
M_tot (Bohr magnetons per cell): 0.00
Relative energy among the computed polymorphs (kJ per mole of atoms): 1.6
Space group: R3m, No. 160

a b c (Å): 8.5067 8.5067 8.5067
angles (deg): 28.09 28.09 28.09
Last column: nearest neighbours and their distance in Å.
Fractional coordinates of all 4 atoms:
Ca 0.0000 0.0000 0.0000  3 Ag 3.00, 3 Br 3.21
Ca 0.1840 0.1840 0.1840  3 Ag 3.01, 3 Br 3.35
Ag 0.5926 0.5926 0.5926  6 Ca 3.00-3.01
Br 0.4210 0.4210 0.4210  6 Ca 3.21-3.35